Entry 1:
An optimized crystal structure of BaZnBr4. Source: Alexandria via LeMat-Bulk, functional PBE.

Output
- Energy above the most stable polymorph in this dataset: 0.00 eV/f.u.

Cell lengths 6.6250, 10.3757, 6.6445 Å; angles 90.00, 100.63, 90.00 degrees
With the nearest neighbours (Å) after each atom.
Space group P2_1/m (No. 11)
Symmetry-distinct sites (fractional):
Ba: 0.1133 0.2500 0.1269 [2 per cell]  8 Br 3.34-3.48
Zn: 0.3917 0.7500 0.3750 [2 per cell]  4 Br 2.42-2.45
Br: 0.2133 0.5652 0.1923 [4 per cell]  1 Zn 2.45
Br: 0.2465 0.2500 0.6437 [2 per cell]  1 Zn 2.42
Br: 0.3665 0.7500 0.7336 [2 per cell]  1 Zn 2.42

---

Entry 2:
An optimized crystal structure of BaZnBr3. Source: Alexandria via LeMat-Bulk, functional PBE.

Cell lengths 5.4006, 5.4006, 5.4006 Å; angles 90.00, 90.00, 90.00 degrees
With the nearest neighbours (Å) after each atom.
Space group Pm-3m (No. 221)
Symmetry-distinct sites (fractional):
Ba: 0.0000 0.0000 0.0000 [1 per cell]  12 Br 3.82
Zn: 0.5000 0.5000 0.5000 [1 per cell]  6 Br 2.70
Br: 0.0000 0.5000 0.5000 [3 per cell]  2 Zn 2.70

---

Entry 3:
An optimized crystal structure of Ba4ZnBr. Source: Alexandria via LeMat-Bulk, functional PBE.

Cell lengths 10.7480, 10.7480, 10.7480 Å; angles 90.00, 90.00, 90.00 degrees
With the nearest neighbours (Å) after each atom.
Space group F-43m (No. 216)
Symmetry-distinct sites (fractional):
Ba: 0.1252 0.1252 0.1252 [16 per cell]  6 Ba 3.79-3.81
Zn: 0.0000 0.0000 0.5000 [4 per cell]  12 Ba 4.46, 4 Br 4.65
Br: 0.2500 0.2500 0.7500 [4 per cell]  12 Ba 4.46, 4 Zn 4.65

---

Listing ρ for the structures above in their given order: 3.86, 4.66, 3.72 g/cm³.
Listing formation energy (no corrections) for the structures above in their given order: -9.18, -6.03, 1.03 eV/f.u..